Record 1
The following is a SCAN calculation of a PBEsol-optimized structure of TlP2, from Alexandria via LeMat-Bulk.

```
TlP2
1.0
-2.3110 0.3892 2.2881
2.5061 -2.0400 0.5340
3.5567 5.0832 2.7277
Tl P
1 2
direct
0.0000 0.0000 0.0000 Tl
0.6667 0.3333 0.5921 P
0.3333 0.6667 0.4079 P
```

Values from the calculation:
As for the total magnetization: 0.000 Bohr magnetons per cell. The polymorph energy (0 for the lowest one) is 0.012 eV/atom. For the uncorrected energy, the calculation gives -92.99 eV for the cell shown. Its formation energy from the elements is 0.06 eV/atom. The calculated volume comes out at 63 Å³/f.u.

Record 2
The following is a SCAN calculation of a PBEsol-optimized structure of ZnRhAu2, from Alexandria via LeMat-Bulk.

```
ZnRhAu2
1.0
3.0913 0.0000 0.0000
0.0000 4.4181 0.0000
-1.5456 -2.2090 4.4454
Au Rh Zn
2 1 1
direct
0.2642 0.2642 0.5284 Au
0.7358 0.7358 0.4716 Au
0.5000 0.0000 0.0000 Rh
0.0000 0.5000 0.0000 Zn
```

Values from the calculation:
As for the total magnetization: 0.000 Bohr magnetons per cell. For the uncorrected energy, the calculation gives -185.84 eV for the cell shown. Its formation energy from the elements is -0.06 eV/atom. The calculated volume comes out at 61 Å³/f.u.

Record 3
The following is a SCAN calculation of a PBEsol-optimized structure of Sr2ScTa, from Alexandria via LeMat-Bulk.

```
Sr2ScTa
1.0
3.2181 0.0000 0.0000
0.0000 5.3020 0.0000
0.0000 0.0000 6.5928
Sr Ta Sc
2 1 1
direct
0.0000 0.0000 0.7625 Sr
0.0000 0.0000 0.2375 Sr
0.5000 0.5000 0.0000 Ta
0.5000 0.5000 0.5000 Sc
```

Values from the calculation:
As for the total magnetization: 0.572 Bohr magnetons per cell. The polymorph energy (0 for the lowest one) is 0.000 eV/atom. For the uncorrected energy, the calculation gives -121.40 eV for the cell shown. Its formation energy from the elements is 0.99 eV/atom. The calculated volume comes out at 112 Å³/f.u.

Record 4
The following is a SCAN calculation of a PBEsol-optimized structure of LaEuS2, from Alexandria via LeMat-Bulk.

```
LaEuS2
1.0
-0.8378 -0.9613 3.8675
2.0962 -2.9518 1.8644
4.8872 3.1843 3.9942
La Eu S
1 1 2
direct
0.5000 0.5000 0.5000 La
0.0000 0.0000 0.0000 Eu
0.2517 0.2517 0.2448 S
0.7483 0.7483 0.7552 S
```

Values from the calculation:
The calculation puts the uncorrected formation energy at -2.404 eV/atom. As for the total magnetization: 6.983 Bohr magnetons per cell. For the uncorrected energy, the calculation gives -125.69 eV for the cell shown. The calculated volume comes out at 96 Å³/f.u.

Record 5
The following is a SCAN calculation of a PBEsol-optimized structure of NaBeO2F, from Alexandria via LeMat-Bulk.

```
NaBeO2F
1.0
3.8752 0.0000 0.0000
0.0000 3.9772 0.0000
0.0000 0.0000 3.9772
Be O Na F
1 2 1 1
direct
0.5000 0.5000 0.5000 Be
0.0000 0.0000 0.5000 O
0.0000 0.5000 0.0000 O
0.0000 0.0000 0.0000 Na
0.5000 0.0000 0.0000 F
```

Values from the calculation:
The calculation puts the uncorrected formation energy at 0.055 eV/atom. As for the total magnetization: 2.000 Bohr magnetons per cell. For the uncorrected energy, the calculation gives -24.30 eV for the cell shown. The calculated volume comes out at 61 Å³/f.u.

Record 6
The following is a SCAN calculation of a PBEsol-optimized structure of K2NdPCO7, from Alexandria via LeMat-Bulk.

```
K2NdPCO7
1.0
5.5598 0.0000 0.0921
0.0000 7.2613 0.0000
-0.3689 0.0000 10.0387
O Nd C K P
14 2 2 4 2
direct
0.7700 0.7500 0.5826 O
0.1842 0.4253 0.6323 O
0.4277 0.7500 0.4129 O
0.8158 0.9253 0.3677 O
0.8158 0.5747 0.3677 O
0.0350 0.7500 0.8356 O
0.4278 0.7500 0.8072 O
0.2852 0.7500 0.0160 O
0.5723 0.2500 0.5871 O
0.9650 0.2500 0.1644 O
0.2300 0.2500 0.4174 O
0.5722 0.2500 0.1928 O
0.1842 0.0747 0.6323 O
0.7148 0.2500 0.9840 O
0.1968 0.7500 0.6096 Nd
0.8032 0.2500 0.3904 Nd
0.7514 0.2500 0.1079 C
0.2486 0.7500 0.8921 C
0.7380 0.0169 0.7912 K
0.2620 0.5169 0.2088 K
0.7380 0.4831 0.7912 K
0.2620 0.9831 0.2088 K
0.7064 0.7500 0.4302 P
0.2936 0.2500 0.5698 P
```

Values from the calculation:
The calculation puts the uncorrected formation energy at -2.569 eV/atom. As for the total magnetization: 0.138 Bohr magnetons per cell. For the uncorrected energy, the calculation gives -310.36 eV for the cell shown. The calculated volume comes out at 203 Å³/f.u.

Record 7
The following is a SCAN calculation of a PBEsol-optimized structure of BiSe2Cl, from Alexandria via LeMat-Bulk.

```
BiSe2Cl
1.0
-3.0347 -3.3749 -2.0837
-2.7623 -2.9946 2.8884
-4.9506 0.6182 0.2240
Bi Cl Se
1 1 2
direct
0.5000 0.5000 0.5000 Bi
0.0000 0.0000 0.0000 Cl
0.7500 0.7500 0.7500 Se
0.2500 0.2500 0.2500 Se
```

Values from the calculation:
The calculation puts the uncorrected formation energy at 0.185 eV/atom. As for the total magnetization: 1.904 Bohr magnetons per cell. For the uncorrected energy, the calculation gives -125.97 eV for the cell shown. The calculated volume comes out at 88 Å³/f.u.

Record 8
The following is a SCAN calculation of a PBEsol-optimized structure of Y2PPb, from Alexandria via LeMat-Bulk.

```
Y2PPb
1.0
-0.7090 -2.3145 2.4635
2.3091 -2.2464 -1.4459
5.8553 3.5388 3.8528
Pb Y P
1 2 1
direct
0.5000 0.5000 0.5000 Pb
0.9305 0.0000 0.2083 Y
0.0695 0.0000 0.7917 Y
0.5000 0.5000 0.0000 P
```

Values from the calculation:
As for the total magnetization: 0.000 Bohr magnetons per cell. The polymorph energy (0 for the lowest one) is 0.271 eV/atom. For the uncorrected energy, the calculation gives -145.96 eV for the cell shown. Its formation energy from the elements is -1.02 eV/atom. The calculated volume comes out at 95 Å³/f.u.

Record 9
The following is a SCAN calculation of a PBEsol-optimized structure of CuAgPt2, from Alexandria via LeMat-Bulk.

```
CuAgPt2
1.0
-2.7287 0.3601 -0.0437
-0.6079 -4.5676 0.3197
-0.0307 0.3267 4.6092
Pt Ag Cu
2 1 1
direct
0.5000 0.5000 0.0000 Pt
0.0000 0.0000 0.0000 Pt
0.5000 0.0000 0.5000 Ag
0.0000 0.5000 0.5000 Cu
```

Values from the calculation:
As for the total magnetization: 0.000 Bohr magnetons per cell. The polymorph energy (0 for the lowest one) is 0.089 eV/atom. For the uncorrected energy, the calculation gives -187.08 eV for the cell shown. Its formation energy from the elements is -0.03 eV/atom. The calculated volume comes out at 59 Å³/f.u.

Record 10
The following is a SCAN calculation of a PBEsol-optimized structure of TeRh2Pb, from Alexandria via LeMat-Bulk.

```
TeRh2Pb
1.0
-0.3914 1.9470 -3.0754
0.9367 -2.9351 -1.9774
-5.4120 -1.5360 -0.2836
Te Rh Pb
1 2 1
direct
0.0000 0.0000 0.4234 Te
0.0000 0.0000 0.9734 Rh
0.5000 0.5000 0.2940 Rh
0.5000 0.5000 0.8092 Pb
```

Values from the calculation:
The calculation puts the uncorrected formation energy at -0.170 eV/atom. As for the total magnetization: 0.000 Bohr magnetons per cell. For the uncorrected energy, the calculation gives -181.25 eV for the cell shown. The calculated volume comes out at 75 Å³/f.u.

Record 11
The following is a SCAN calculation of a PBEsol-optimized structure of TlCoS2, from Alexandria via LeMat-Bulk.

```
TlCoS2
1.0
-0.5544 0.6817 -3.2274
-2.9501 -0.7521 -1.3854
-3.9370 7.1643 0.4563
S Co Tl
2 1 1
direct
0.8788 0.8788 0.3635 S
0.1212 0.1212 0.6365 S
0.5000 0.5000 0.5000 Co
0.0000 0.0000 0.0000 Tl
```

Values from the calculation:
The calculation puts the uncorrected formation energy at -0.383 eV/atom. As for the total magnetization: 0.000 Bohr magnetons per cell. For the uncorrected energy, the calculation gives -110.45 eV for the cell shown. The calculated volume comes out at 77 Å³/f.u.

Record 12
The following is a SCAN calculation of a PBEsol-optimized structure of Li3CrBAsO7, from Alexandria via LeMat-Bulk.

```
Li3CrBAsO7
1.0
5.0205 0.0000 0.0109
0.0000 6.3896 0.0000
-0.7585 0.0000 8.3944
O Li Cr As B
14 6 2 2 2
direct
0.6149 0.7500 0.9697 O
0.6393 0.7500 0.6162 O
0.8237 0.0527 0.2077 O
0.3851 0.2500 0.0303 O
0.8610 0.2500 0.8994 O
0.0375 0.2500 0.5867 O
0.1763 0.5527 0.7923 O
0.4909 0.2500 0.6658 O
0.5091 0.7500 0.3342 O
0.9625 0.7500 0.4133 O
0.3607 0.2500 0.3838 O
0.8237 0.4473 0.2077 O
0.1390 0.7500 0.1006 O
0.1763 0.9473 0.7923 O
0.7496 0.0115 0.7270 Li
0.7618 0.2500 0.4060 Li
0.2504 0.9885 0.2730 Li
0.2504 0.5115 0.2730 Li
0.2382 0.7500 0.5940 Li
0.7496 0.4885 0.7270 Li
0.2105 0.2500 0.8106 Cr
0.7895 0.7500 0.1894 Cr
0.2756 0.7500 0.9229 As
0.7244 0.2500 0.0771 As
0.2961 0.2500 0.5359 B
0.7039 0.7500 0.4641 B
```

Values from the calculation:
The calculation puts the uncorrected formation energy at -2.204 eV/atom. As for the total magnetization: 6.000 Bohr magnetons per cell. For the uncorrected energy, the calculation gives -250.89 eV for the cell shown. The calculated volume comes out at 135 Å³/f.u.